Density functional theory data (PBE-GGA) for a relaxed Dy2Y3Se4 crystal.

abc: 3.986 3.986 16.705
angles: 90.02 89.98 119.99
Element x y z (fractional)
Se: 0.001 0.999 0.691
Se: 0.999 0.001 0.309
Y: 0.334 0.666 0.584
Dy: 0.333 0.667 0.208
Y: 0.666 0.334 0.416
Dy: 0.667 0.333 0.792
Se: 0.334 0.666 0.896
Y: 0.000 0.000 0.000
Se: 0.666 0.334 0.104

Output
Uncorrected formation energy ... -1.56 eV per atom
DFT total energy ... -6.283 eV/atom

Density functional theory data (PBE-GGA) for a relaxed Y2InC crystal.

abc: 3.269 3.269 8.356
angles: 90.00 90.00 74.50
Element x y z (fractional)
C: 0.500 0.500 0.500
Y: 0.000 0.000 0.681
Y: 0.000 0.000 0.319
In: 0.500 0.500 0.000

Output
E_form ... -3.04 kJ per mole of atoms
DFT total energy ... -6.254 eV/atom

Density functional theory data (PBE-GGA) for a relaxed CdPbBr2 crystal.

abc: 11.353 11.353 11.353
angles: 22.28 22.28 22.28
Element x y z (fractional)
Br: 0.886 0.886 0.886
Br: 0.114 0.114 0.114
Pb: 0.500 0.500 0.500
Cd: 0.000 0.000 0.000

Output
Energy above the most stable polymorph in this dataset ... 0.06 eV per formula unit
Uncorrected formation energy ... -0.52 eV per atom
DFT total energy ... -2.515 eV/atom

Density functional theory data (PBE-GGA) for a relaxed Ca2IrPdN crystal.

abc: 5.059 5.059 3.751
angles: 90.00 90.00 90.00
Element x y z (fractional)
Ca: 0.000 0.500 0.000
Ca: 0.500 0.000 0.000
Pd: 0.500 0.500 0.500
Ir: 0.000 0.000 0.500
N: 0.000 0.000 0.000

Output
Uncorrected formation energy ... -0.64 eV per atom
DFT total energy ... -5.915 eV/atom

Density functional theory data (PBE-GGA) for a relaxed TiTlZn2 crystal.

abc: 4.692 4.692 4.692
angles: 60.00 60.00 60.00
Element x y z (fractional)
Zn: 0.750 0.750 0.750
Tl: 0.500 0.500 0.500
Zn: 0.250 0.250 0.250
Ti: 0.000 0.000 0.000

Output
Energy above the most stable polymorph in this dataset ... 1.17 eV per formula unit
E_form ... 27.39 kJ per mole of atoms
DFT total energy ... -2.918 eV/atom

Density functional theory data (PBE-GGA) for a relaxed CaV2Os2 crystal.

abc: 7.611 7.611 2.809
angles: 90.00 90.00 90.00
Element x y z (fractional)
V: 0.357 0.857 0.000
V: 0.643 0.143 0.000
Os: 0.146 0.646 0.500
Os: 0.646 0.854 0.500
V: 0.143 0.357 0.000
V: 0.857 0.643 0.000
Os: 0.854 0.354 0.500
Os: 0.354 0.146 0.500
Ca: 0.500 0.500 0.000
Ca: 0.000 0.000 0.000

Output
Energy above the most stable polymorph in this dataset ... 0.56 eV per formula unit
E_form ... 4.76 kJ per mole of atoms
DFT total energy ... -8.490 eV/atom

Density functional theory data (PBE-GGA) for a relaxed KZnPtF6 crystal.

abc: 7.301 7.801 7.480
angles: 121.43 119.21 90.00
Element x y z (fractional)
F: 0.180 0.930 0.360
F: 0.827 0.672 0.241
K: 0.118 0.368 0.236
F: 0.414 0.069 0.241
F: 0.414 0.672 0.241
Pt: 0.500 0.000 0.000
F: 0.820 0.070 0.640
Zn: 0.000 0.000 0.500
Zn: 0.500 0.000 0.500
F: 0.586 0.328 0.759
F: 0.827 0.069 0.241
F: 0.173 0.931 0.759
Pt: 0.500 0.500 0.000
K: 0.882 0.632 0.764
F: 0.173 0.328 0.759
F: 0.383 0.633 0.765
F: 0.586 0.931 0.759
F: 0.617 0.367 0.235

Output
Uncorrected formation energy ... -1.92 eV per atom
DFT total energy ... -4.103 eV/atom

Density functional theory data (PBE-GGA) for a relaxed KNa2Cd6 crystal.

abc: 3.329 9.113 9.113
angles: 120.00 90.00 90.00
Element x y z (fractional)
K: 0.000 0.000 0.000
Cd: 0.500 0.000 0.340
Na: 0.000 0.333 0.667
Na: 0.000 0.667 0.333
Cd: 0.500 0.340 0.000
Cd: 0.500 0.660 0.660
Cd: 0.500 0.000 0.660
Cd: 0.500 0.660 0.000
Cd: 0.500 0.340 0.340

Output
Energy above the most stable polymorph in this dataset ... 0.00 eV per formula unit
E_form ... -7.42 kJ per mole of atoms
DFT total energy ... -1.102 eV/atom

Density functional theory data (PBE-GGA) for a relaxed TlRe3H crystal.

abc: 4.085 4.085 4.085
angles: 90.00 90.00 90.00
Element x y z (fractional)
Tl: 0.500 0.500 0.500
H: 0.000 0.000 0.000
Re: 0.000 0.500 0.000
Re: 0.500 0.000 0.000
Re: 0.000 0.000 0.500

Output
Energy above the most stable polymorph in this dataset ... 0.00 eV per formula unit
DFT total energy ... -7.689 eV/atom

Density functional theory data (PBE-GGA) for a relaxed In5Se8 crystal.

abc: 8.025 8.025 8.025
angles: 60.00 60.00 60.00
Element x y z (fractional)
Se: 0.615 0.155 0.615
In: 0.365 0.365 0.905
In: 0.365 0.905 0.365
Se: 0.615 0.615 0.155
In: 0.750 0.750 0.750
Se: 0.125 0.625 0.125
In: 0.365 0.365 0.365
Se: 0.615 0.615 0.615
Se: 0.155 0.615 0.615
Se: 0.125 0.125 0.125
Se: 0.625 0.125 0.125
In: 0.905 0.365 0.365
Se: 0.125 0.125 0.625

Output
Uncorrected formation energy ... -0.43 eV per atom
DFT total energy ... -3.626 eV/atom

Density functional theory data (PBE-GGA) for a relaxed CeEr3Tl2 crystal.

abc: 5.372 7.296 9.562
angles: 112.43 106.32 90.00
Element x y z (fractional)
Er: 0.824 0.074 0.648
Er: 0.176 0.926 0.352
Tl: 0.345 0.845 0.689
Tl: 0.345 0.345 0.689
Ce: 0.000 0.500 0.000
Er: 0.176 0.426 0.352
Tl: 0.655 0.655 0.311
Er: 0.500 0.250 0.000
Er: 0.824 0.574 0.648
Tl: 0.655 0.155 0.311
Ce: 0.000 0.000 0.000
Er: 0.500 0.750 0.000

Output
E_form ... -16.87 kJ per mole of atoms
DFT total energy ... -4.234 eV/atom

Density functional theory data (PBE-GGA) for a relaxed SiPRu2 crystal.

abc: 5.090 5.090 5.090
angles: 140.17 140.17 57.60
Element x y z (fractional)
P: 0.750 0.250 0.500
Ru: 0.000 0.000 0.000
Si: 0.500 0.500 0.000
Ru: 0.250 0.750 0.500

Output
Energy above the most stable polymorph in this dataset ... 1.69 eV per formula unit
Uncorrected formation energy ... -0.05 eV per atom
DFT total energy ... -7.399 eV/atom

Density functional theory data (PBE-GGA) for a relaxed BMo2WCl crystal.

abc: 4.293 4.293 4.227
angles: 90.00 90.00 90.00
Element x y z (fractional)
W: 0.000 0.000 0.500
Mo: 0.500 0.000 0.000
B: 0.000 0.000 0.000
Mo: 0.000 0.500 0.000
Cl: 0.500 0.500 0.500

Output
Energy above the most stable polymorph in this dataset ... 0.00 eV per formula unit
Uncorrected formation energy ... 1.03 eV per atom
DFT total energy ... -7.599 eV/atom

Density functional theory data (PBE-GGA) for a relaxed Ti2GaFePt crystal.

abc: 4.386 4.775 4.386
angles: 90.00 90.00 90.00
Element x y z (fractional)
Pt: 0.000 0.500 0.000
Ti: 0.000 0.000 0.500
Ga: 0.500 0.500 0.500
Ti: 0.500 0.000 0.000
Fe: 0.000 0.000 0.000

Output
E_form ... 17.21 kJ per mole of atoms
DFT total energy ... -6.486 eV/atom

Density functional theory data (PBE-GGA) for a relaxed GeAsBr crystal.

abc: 6.293 3.807 3.807
angles: 120.00 90.00 90.00
Element x y z (fractional)
As: 0.228 0.333 0.667
Br: 0.729 0.667 0.333
Ge: 0.044 0.000 0.000

Output
Energy above the most stable polymorph in this dataset ... 0.75 eV per formula unit
Uncorrected formation energy ... -0.01 eV per atom
DFT total energy ... -3.657 eV/atom

Density functional theory data (PBE-GGA) for a relaxed AlCu2Se crystal.

abc: 4.931 4.931 4.931
angles: 137.29 130.11 67.72
Element x y z (fractional)
Cu: 0.494 0.494 0.000
Cu: 0.006 0.006 0.000
Se: 0.750 0.250 0.500
Al: 0.250 0.750 0.500

Output
Uncorrected formation energy ... 0.13 eV per atom
DFT total energy ... -3.723 eV/atom

Density functional theory data (PBE-GGA) for a relaxed CeScHg2 crystal.

abc: 3.552 3.552 7.794
angles: 90.00 90.00 90.00
Element x y z (fractional)
Sc: 0.500 0.500 0.000
Hg: 0.000 0.000 0.783
Hg: 0.000 0.000 0.217
Ce: 0.500 0.500 0.500

Output
Energy above the most stable polymorph in this dataset ... 0.00 eV per formula unit
E_form ... -35.17 kJ per mole of atoms
DFT total energy ... -3.582 eV/atom

Density functional theory data (PBE-GGA) for a relaxed AcCd12Hg6 crystal.

abc: 8.239 8.239 8.239
angles: 104.75 104.75 104.75
Element x y z (fractional)
Cd: 0.892 0.500 0.108
Hg: 0.713 0.713 0.277
Cd: 0.145 0.384 0.384
Hg: 0.723 0.287 0.287
Cd: 0.892 0.108 0.500
Cd: 0.384 0.145 0.384
Cd: 0.500 0.108 0.892
Cd: 0.616 0.616 0.855
Hg: 0.287 0.287 0.723
Cd: 0.855 0.616 0.616
Cd: 0.500 0.892 0.108
Ac: 0.000 0.000 0.000
Hg: 0.287 0.723 0.287
Cd: 0.616 0.855 0.616
Cd: 0.108 0.500 0.892
Cd: 0.384 0.384 0.145
Hg: 0.713 0.277 0.713
Hg: 0.277 0.713 0.713
Cd: 0.108 0.892 0.500

Output
Energy above the most stable polymorph in this dataset ... 0.92 eV per formula unit
E_form ... 0.21 kJ per mole of atoms
DFT total energy ... -0.887 eV/atom

Density functional theory data (PBE-GGA) for a relaxed CaBiBr3 crystal.

abc: 5.661 5.661 5.661
angles: 90.00 90.00 90.00
Element x y z (fractional)
Bi: 0.500 0.500 0.500
Br: 0.000 0.000 0.500
Ca: 0.000 0.000 0.000
Br: 0.000 0.500 0.000
Br: 0.500 0.000 0.000

Output
Energy above the most stable polymorph in this dataset ... 0.00 eV per formula unit
Uncorrected formation energy ... -0.89 eV per atom
DFT total energy ... -3.072 eV/atom

Density functional theory data (PBE-GGA) for a relaxed MnOsSe crystal.

abc: 2.746 2.746 20.928
angles: 90.00 90.00 120.00
Element x y z (fractional)
Os: 0.000 0.000 0.777
Mn: 0.000 0.000 0.533
Se: 0.000 0.000 0.651
Se: 0.667 0.333 0.984
Se: 0.333 0.667 0.317
Mn: 0.333 0.667 0.200
Os: 0.333 0.667 0.444
Os: 0.667 0.333 0.111
Mn: 0.667 0.333 0.866

Output
Energy above the most stable polymorph in this dataset ... 0.63 eV per formula unit
Uncorrected formation energy ... 0.47 eV per atom
DFT total energy ... -7.495 eV/atom

Density functional theory data (PBE-GGA) for a relaxed CeMgPb2 crystal.

abc: 3.885 3.885 7.393
angles: 90.00 90.00 90.00
Element x y z (fractional)
Pb: 0.000 0.000 0.222
Pb: 0.000 0.000 0.778
Mg: 0.500 0.500 0.000
Ce: 0.500 0.500 0.500

Output
E_form ... -17.40 kJ per mole of atoms
DFT total energy ... -3.917 eV/atom

Density functional theory data (PBE-GGA) for a relaxed GaWI2N crystal.

abc: 5.734 5.734 3.874
angles: 90.00 90.00 90.00
Element x y z (fractional)
N: 0.000 0.000 0.500
I: 0.500 0.000 0.000
Ga: 0.500 0.500 0.500
I: 0.000 0.500 0.000
W: 0.000 0.000 0.000

Output
Energy above the most stable polymorph in this dataset ... 0.00 eV per formula unit
Uncorrected formation energy ... 0.28 eV per atom
DFT total energy ... -5.203 eV/atom

Density functional theory data (PBE-GGA) for a relaxed Er11In9Pt4 crystal.

abc: 3.636 13.158 13.158
angles: 112.73 90.00 90.00
Element x y z (fractional)
Er: 0.000 0.415 0.074
Er: 0.000 0.309 0.309
Er: 0.000 0.373 0.627
Er: 0.000 0.627 0.373
In: 0.500 0.155 0.634
In: 0.500 0.845 0.366
Pt: 0.500 0.449 0.246
Er: 0.000 0.840 0.160
Er: 0.000 0.000 0.000
Er: 0.000 0.691 0.691
In: 0.500 0.500 0.500
In: 0.500 0.634 0.155
In: 0.500 0.215 0.071
In: 0.500 0.071 0.215
In: 0.500 0.366 0.845
Pt: 0.500 0.246 0.449
Er: 0.000 0.926 0.585
In: 0.500 0.785 0.929
Pt: 0.500 0.754 0.551
In: 0.500 0.929 0.785
Er: 0.000 0.074 0.415
Er: 0.000 0.160 0.840
Pt: 0.500 0.551 0.754
Er: 0.000 0.585 0.926

Output
E_form ... -76.81 kJ per mole of atoms
DFT total energy ... -4.921 eV/atom

Density functional theory data (PBE-GGA) for a relaxed BaPtSe crystal.

abc: 5.592 5.592 5.592
angles: 132.85 132.92 68.83
Element x y z (fractional)
Ba: 0.014 0.014 0.000
Se: 0.365 0.365 0.000
Pt: 0.622 0.622 0.000

Output
Uncorrected formation energy ... -0.70 eV per atom
DFT total energy ... -4.518 eV/atom

Density functional theory data (PBE-GGA) for a relaxed CsRe2HgBi crystal.

abc: 5.329 6.133 5.329
angles: 90.00 90.00 90.00
Element x y z (fractional)
Re: 0.000 0.000 0.500
Re: 0.500 0.000 0.000
Cs: 0.000 0.500 0.000
Hg: 0.000 0.000 0.000
Bi: 0.500 0.500 0.500

Output
E_form ... 224.19 kJ per mole of atoms
DFT total energy ... -3.663 eV/atom

| no. | mass density (Mg/m³) |
| --- | --- |
| 1 | 6.56 |
| 2 | 5.88 |
| 3 | 4.32 |
| 4 | 6.80 |
| 5 | 8.71 |
| 6 | 10.67 |
| 7 | 4.61 |
| 8 | 5.27 |
| 9 | 18.61 |
| 10 | 5.48 |
| 11 | 10.57 |
| 12 | 8.09 |
| 13 | 8.99 |
| 14 | 7.53 |
| 15 | 4.78 |
| 16 | 6.33 |
| 17 | 9.90 |
| 18 | 9.39 |
| 19 | 4.47 |
| 20 | 11.81 |
| 21 | 8.61 |
| 22 | 6.80 |
| 23 | 10.45 |
| 24 | 7.41 |
| 25 | 8.72 |